(1)
# CuB2Au, relaxed, DFT PBE-GGA
# DFT total energy   -3.689 eV/atom
data_CuB2Au
_chemical_formula_sum 'Cu4 B8 Au4'
_symmetry_space_group_name_H-M 'F -4 3 m'
_symmetry_Int_Tables_number 216
_symmetry_space_group_name_Hall 'F -4 2 3'
_cell_length_a 5.7152
_cell_length_b 5.7152
_cell_length_c 5.7152
_cell_angle_alpha 90.00
_cell_angle_beta 90.00
_cell_angle_gamma 90.00
loop_
_atom_site_label
_atom_site_type_symbol
_atom_site_fract_x
_atom_site_fract_y
_atom_site_fract_z
Cu1 Cu 0.0000 0.0000 0.0000
B1 B 0.0000 0.0000 0.5000
B2 B 0.2500 0.2500 0.2500
Au1 Au 0.2500 0.2500 0.7500



(2)
# CuB4Au, relaxed, DFT PBE-GGA
# Excess energy over the best structure of this formula in the dataset   0 meV per atom
# DFT total energy   -5.102 eV/atom
data_CuB4Au
_chemical_formula_sum 'Cu1 B4 Au1'
_symmetry_space_group_name_H-M 'P 6/m m m'
_symmetry_Int_Tables_number 191
_symmetry_space_group_name_Hall '-P 6 2'
_cell_length_a 2.9966
_cell_length_b 2.9966
_cell_length_c 7.5866
_cell_angle_alpha 90.00
_cell_angle_beta 90.00
_cell_angle_gamma 120.00
loop_
_atom_site_label
_atom_site_type_symbol
_atom_site_fract_x
_atom_site_fract_y
_atom_site_fract_z
Cu1 Cu 0.0000 0.0000 0.0000
B1 B 0.3333 0.6667 0.2147
Au1 Au 0.0000 0.0000 0.5000



(3)
# CuBAu2, relaxed, DFT PBE-GGA
# DFT total energy   -3.409 eV/atom
data_CuBAu2
_chemical_formula_sum 'Cu4 B4 Au8'
_symmetry_space_group_name_H-M 'F -4 3 m'
_symmetry_Int_Tables_number 216
_symmetry_space_group_name_Hall 'F -4 2 3'
_cell_length_a 6.1639
_cell_length_b 6.1639
_cell_length_c 6.1639
_cell_angle_alpha 90.00
_cell_angle_beta 90.00
_cell_angle_gamma 90.00
loop_
_atom_site_label
_atom_site_type_symbol
_atom_site_fract_x
_atom_site_fract_y
_atom_site_fract_z
Cu1 Cu 0.0000 0.0000 0.0000
B1 B 0.2500 0.2500 0.7500
Au1 Au 0.0000 0.0000 0.5000
Au2 Au 0.2500 0.2500 0.2500



- The lowest DFT total energy belongs to which entry?
  CuB4Au